! NaPaBi2 (GGA-PBE, optimized geometry); values from VASP
! Total moment in μB per cell: 0.13
! Uncorrected energy in eV/atom: -4.752
! Distance to the lowest polymorph of the same formula in eV/f.u.: 0.440
! SG: Fm-3m, No. 225
! ΔH_f (0 K) in meV per atom: -108
&SYSTEM
  ibrav = 0, nat = 4, ntyp = 3
/
ATOMIC_SPECIES
Bi 208.98 Bi.upf
Na 22.99 Na.upf
Pa 231.04 Pa.upf
CELL_PARAMETERS angstrom
5.452 0.000 0.000
2.726 4.722 0.000
2.726 1.574 4.452
ATOMIC_POSITIONS angstrom
Bi 2.726 1.574 1.113
Bi 8.178 4.722 3.339
Na 5.452 3.148 2.226
Pa 0.000 0.000 0.000